Compound: CaCu3Ag
Source: Alexandria
Functional: PBEsol
Structure: optimized geometry

Fermi-level density of states   2.8 states/eV/cell
Symmetry   Pm-3m (221)
Energy relative to the elements   1.453 eV per atom

Unit cell a=4.771 b=4.771 c=4.771 alpha=90.00 beta=90.00 gamma=90.00
Fractional coordinates of all 5 atoms:
Ca 0.000 0.000 0.000
Cu 0.000 0.000 0.500
Cu 0.000 0.500 0.000
Cu 0.500 0.000 0.000
Ag 0.500 0.500 0.500

Compound: Ca2TlCo
Source: Alexandria
Functional: PBEsol
Structure: optimized geometry

Fermi-level density of states   5.4 states/eV/cell
Symmetry   F-43m (216)
Energy relative to the elements   0.186 eV per atom

Unit cell a=4.948 b=4.948 c=4.948 alpha=60.00 beta=60.00 gamma=60.00
Fractional coordinates of all 4 atoms:
Ca 0.000 0.000 0.000
Ca 0.250 0.250 0.250
Tl 0.750 0.750 0.750
Co 0.500 0.500 0.500